Below is an optimized crystal structure of ZrPd2O, with properties calculated at the GGA-PBE level.

Cell lengths 7.968, 7.968, 6.010 Å; angles 48.47, 48.47, 90.00 degrees
Atoms (fractional coordinates):
Zr  0.750  0.250  0.500
Pd  0.375  0.476  0.750
Zr  0.000  0.000  0.000
Pd  0.226  0.625  0.250
O  0.250  0.750  0.500
Pd  0.524  0.125  0.250
O  0.500  0.500  0.000
Pd  0.875  0.774  0.750

Output
E_tot = -53.6 eV per cell
formation energy without anion corrections = -0.72 eV/atom
crystal system = tetragonal
space-group type = I-42d, No. 122